# 1
Here is Gd3SnSe after structural relaxation from OQMD. Energies are from PBE-GGA.

Summary:
- Volume: 153.6 Å³/cell
- SG: No. 221
- Electronic total energy: -4.9561 eV/atom
- Total moment: 0.0 Bohr magnetons per cell

a b c (Å): 5.3555 5.3555 5.3555
angles (deg): 90.00 90.00 90.00
Atoms (fractional coordinates):
Gd  0.0000  0.5000  0.5000
Gd  0.5000  0.0000  0.5000
Gd  0.5000  0.5000  0.0000
Se  0.5000  0.5000  0.5000
Sn  0.0000  0.0000  0.0000

# 2
Here is Zn2HgGe after structural relaxation from OQMD. Energies are from PBE-GGA.

Summary:
- Volume: 76.7 Å³/cell
- SG: No. 216
- Electronic total energy: -1.5950 eV/atom

a b c (Å): 4.7690 4.7690 4.7690
angles (deg): 60.00 60.00 60.00
Atoms (fractional coordinates):
Zn  0.7500  0.7500  0.7500
Hg  0.2500  0.2500  0.2500
Ge  0.5000  0.5000  0.5000
Zn  0.0000  0.0000  0.0000

# 3
Here is GdAgSeO after structural relaxation from OQMD. Energies are from PBE-GGA.

Summary:
- Volume: 181.4 Å³/cell
- SG: No. 26
- Electronic total energy: -5.5465 eV/atom
- Total moment: 0.0 Bohr magnetons per cell

a b c (Å): 4.3322 6.3372 6.6085
angles (deg): 90.00 90.00 90.00
Atoms (fractional coordinates):
O  0.5000  0.8930  0.6808
Gd  0.5000  0.1715  0.5015
O  0.5000  0.1070  0.1808
Se  0.0000  0.3508  0.7118
Se  0.0000  0.6492  0.2118
Ag  0.0000  0.7526  0.5969
Ag  0.0000  0.2474  0.0969
Gd  0.5000  0.8285  0.0015